A plane-wave DFT calculation with GGA-PBE was carried out for a geometry-optimized TiNbAl4 structure.

Properties
* mass density: 4.1 g/cm³
* energy: -5.58 eV per atom
* formation energy: -0.088 eV per atom

a b c (Å): 5.3563 5.2673 7.6094
angles (deg): 93.30 110.61 90.00
Fractional positions:
Ti 0.9176 0.7500 0.0000
Ti 0.0824 0.2500 0.0000
Nb 0.5000 0.5000 0.5000
Nb 0.0000 0.0000 0.5000
Al 0.3427 0.0028 0.3272
Al 0.9845 0.5028 0.3272
Al 0.6629 0.1289 0.1538
Al 0.4909 0.6289 0.1538
Al 0.3371 0.8711 0.8462
Al 0.5091 0.3711 0.8462
Al 0.6573 0.9972 0.6728
Al 0.0155 0.4972 0.6728